LiMnZn2Pd at its PBEsol-relaxed geometry. Source: Alexandria, functional meta-GGA SCAN.

Formation energy   2.03 eV per formula unit
Size of the total moment   3.924 μB per formula unit

Cell: 4.660 4.660 4.676 Å, 90.00 90.00 90.00°
Site moments in Bohr magnetons follow the coordinates.
Sites, in units of the cell vectors:
Mn  0.000  0.000  0.000  3.64
Zn  0.000  0.500  0.000  -0.01
Zn  0.500  0.000  0.000  -0.01
Pd  0.000  0.000  0.500  0.42
Li  0.500  0.500  0.500  0.00

CaMo2Cl at its PBEsol-relaxed geometry. Source: Alexandria, functional meta-GGA SCAN.

Relative energy among the computed polymorphs   3.470 eV per formula unit
Formation energy from raw total energies   1.78 eV per atom
Size of the total moment   0.001 μB per formula unit

Cell: 4.555 4.555 4.555 Å, 60.00 60.00 60.00°
Sites, in units of the cell vectors:
Mo  0.750  0.750  0.750
Mo  0.250  0.250  0.250
Ca  0.000  0.000  0.000
Cl  0.500  0.500  0.500

Re2Ru at its PBEsol-relaxed geometry. Source: Alexandria, functional meta-GGA SCAN.

Relative energy among the computed polymorphs   0.036 eV per formula unit
Formation energy   -0.20 eV per formula unit
Size of the total moment   0.000 μB per formula unit

Cell: 2.732 4.369 7.249 Å, 90.00 100.86 90.00°
Sites, in units of the cell vectors:
Re  0.555  0.250  0.109
Re  0.777  0.750  0.553
Re  0.445  0.750  0.891
Re  0.223  0.250  0.447
Ru  0.890  0.250  0.780
Ru  0.110  0.750  0.220

Mg6Cd7 at its PBEsol-relaxed geometry. Source: Alexandria, functional meta-GGA SCAN.

Formation energy   -1.15 eV per formula unit
Size of the total moment   0.000 μB per formula unit

Cell: 5.683 5.683 10.603 Å, 74.46 74.46 60.00°
Sites, in units of the cell vectors:
Mg  0.047  0.047  0.858
Mg  0.953  0.953  0.142
Mg  0.666  0.666  0.001
Mg  0.334  0.334  0.999
Mg  0.152  0.152  0.544
Mg  0.848  0.848  0.456
Cd  0.084  0.589  0.738
Cd  0.589  0.589  0.738
Cd  0.589  0.084  0.738
Cd  0.500  0.500  0.500
Cd  0.411  0.916  0.262
Cd  0.916  0.411  0.262
Cd  0.411  0.411  0.262